(P)
A plane-wave DFT calculation with PBE was carried out for a relaxed MnSiAs3 crystal.

Calculated values
- M_tot (μB per atom) = 0.003
- crystal system = cubic
- N(E_F) (states/eV/cell) = 8.1

Cell: 4.689 4.689 4.689 Å, 90.00 90.00 90.00°
Fractional positions:
Mn (0.000, 0.000, 0.000)
Si (0.500, 0.500, 0.500)
As (0.000, 0.500, 0.500)
As (0.500, 0.000, 0.500)
As (0.500, 0.500, 0.000)



(Q)
A plane-wave DFT calculation with PBE was carried out for a relaxed MnSiAs3 crystal.

Calculated values
- M_tot (μB per atom) = 0.173
- crystal system = cubic
- N(E_F) (states/eV/cell) = 6.4

Cell: 4.607 4.607 4.607 Å, 90.00 90.00 90.00°
Fractional positions:
Mn (0.000, 0.000, 0.000)
Si (0.500, 0.500, 0.500)
As (0.000, 0.000, 0.500)
As (0.000, 0.500, 0.000)
As (0.500, 0.000, 0.000)



Tell me which of them is the least stable. Sure, it is (P).



(P)
A plane-wave DFT calculation with PBE was carried out for a relaxed Mn2SiAs2 crystal.

Calculated values
- M_tot (μB per atom) = 0.000
- crystal system = tetragonal
- N(E_F) (states/eV/cell) = 4.1

Cell: 5.300 5.300 5.300 Å, 133.47 133.47 67.91°
Fractional positions:
Mn (0.250, 0.750, 0.500)
Mn (0.750, 0.250, 0.500)
Si (0.000, 0.000, 0.000)
As (0.364, 0.364, 0.000)
As (0.636, 0.636, 0.000)



(Q)
A plane-wave DFT calculation with PBE was carried out for a relaxed Mn2SiAs2 crystal.

Calculated values
- M_tot (μB per atom) = 1.347
- crystal system = tetragonal
- N(E_F) (states/eV/cell) = 6.1

Cell: 7.189 7.189 3.187 Å, 90.00 90.00 90.00°
Fractional positions:
Mn (0.132, 0.368, 0.000)
Mn (0.368, 0.868, 0.000)
Mn (0.632, 0.132, 0.000)
Mn (0.868, 0.632, 0.000)
Si (0.000, 0.000, 0.500)
Si (0.500, 0.500, 0.500)
As (0.160, 0.660, 0.500)
As (0.340, 0.160, 0.500)
As (0.660, 0.840, 0.500)
As (0.840, 0.340, 0.500)



Tell me which of them is the least stable. Sure, it is (P).



(P)
A plane-wave DFT calculation with PBE was carried out for a relaxed SrMn3As crystal.

Calculated values
- M_tot (μB per atom) = 2.010
- crystal system = cubic
- N(E_F) (states/eV/cell) = 6.6

Cell: 4.787 4.787 4.787 Å, 90.00 90.00 90.00°
Fractional positions:
Sr (0.000, 0.000, 0.000)
Mn (0.000, 0.500, 0.500)
Mn (0.500, 0.000, 0.500)
Mn (0.500, 0.500, 0.000)
As (0.500, 0.500, 0.500)



(Q)
A plane-wave DFT calculation with PBE was carried out for a relaxed SrMn3As crystal.

Calculated values
- M_tot (μB per atom) = 2.276
- crystal system = cubic
- N(E_F) (states/eV/cell) = 4.7

Cell: 5.020 5.020 5.020 Å, 90.00 90.00 90.00°
Fractional positions:
Sr (0.000, 0.000, 0.000)
Mn (0.000, 0.000, 0.500)
Mn (0.000, 0.500, 0.000)
Mn (0.500, 0.000, 0.000)
As (0.500, 0.500, 0.500)



Tell me which of them is the least stable. Sure, it is (Q).